[1]
Compound: AcHoPt2
Source: Alexandria via LeMat-Bulk
Functional: PBE-GGA
Structure: optimized geometry

a b c (Å): 5.957 5.957 5.957
angles (deg): 46.63 46.63 46.63
Atoms (fractional coordinates):
Ac (0.000, 0.000, 0.000)
Ho (0.500, 0.500, 0.500)
Pt (0.221, 0.221, 0.221)
Pt (0.779, 0.779, 0.779)

* final energy: -6.320 eV per atom
* energy relative to the elements: -26.00 kcal/mol of atoms
* SG: No. 166
* density of states at the Fermi level: 0.515 states/eV per atom
* offset from the most stable computed form: 20 meV per atom

=====

[2]
Compound: Ba3I3N
Source: Alexandria via LeMat-Bulk
Functional: PBE-GGA
Structure: optimized geometry

a b c (Å): 8.845 8.845 8.645
angles (deg): 97.29 97.29 113.46
Atoms (fractional coordinates):
Ba (0.097, 0.097, 0.340)
Ba (0.153, 0.424, 0.772)
Ba (0.424, 0.153, 0.772)
Ba (0.576, 0.847, 0.228)
Ba (0.847, 0.576, 0.228)
Ba (0.903, 0.903, 0.660)
I (0.170, 0.830, 0.000)
I (0.258, 0.742, 0.500)
I (0.387, 0.387, 0.153)
I (0.613, 0.613, 0.847)
I (0.742, 0.258, 0.500)
I (0.830, 0.170, 0.000)
N (0.167, 0.167, 0.649)
N (0.833, 0.833, 0.351)

* energy relative to the elements, uncorrected: -1.414 eV per atom
* final energy: -4.091 eV per atom
* SG: No. 12
* density of states at the Fermi level: 0.000 states/eV per atom

=====

[3]
Compound: PmTm2Cd
Source: Alexandria via LeMat-Bulk
Functional: PBE-GGA
Structure: optimized geometry

a b c (Å): 4.843 4.843 4.842
angles (deg): 90.00 90.00 90.00
Atoms (fractional coordinates):
Pm (0.000, 0.000, 0.000)
Tm (0.000, 0.500, 0.500)
Tm (0.500, 0.000, 0.500)
Cd (0.500, 0.500, 0.000)

* final energy: -3.739 eV per atom
* energy relative to the elements: -2.01 kcal/mol of atoms
* SG: No. 123
* density of states at the Fermi level: 1.407 states/eV per atom
* offset from the most stable computed form: 62 meV per atom

=====

[4]
Compound: SrNiSe2N
Source: Alexandria via LeMat-Bulk
Functional: PBE-GGA
Structure: optimized geometry

a b c (Å): 5.230 5.230 3.540
angles (deg): 90.00 90.00 90.00
Atoms (fractional coordinates):
Sr (0.000, 0.000, 0.000)
Ni (0.500, 0.500, 0.500)
Se (0.000, 0.500, 0.500)
Se (0.500, 0.000, 0.500)
N (0.500, 0.500, 0.000)

* energy relative to the elements, uncorrected: -0.320 eV per atom
* final energy: -4.871 eV per atom
* SG: No. 123
* density of states at the Fermi level: 0.381 states/eV per atom
* offset from the most stable computed form: 0 meV per atom

=====

[5]
Compound: YCoRuN2
Source: Alexandria via LeMat-Bulk
Functional: PBE-GGA
Structure: optimized geometry

a b c (Å): 4.270 4.270 5.181
angles (deg): 90.00 90.00 90.00
Atoms (fractional coordinates):
Y (0.000, 0.000, 0.000)
Co (0.000, 0.000, 0.500)
Ru (0.500, 0.500, 0.500)
N (0.000, 0.500, 0.000)
N (0.500, 0.000, 0.000)

* energy relative to the elements, uncorrected: 1.927 eV per atom
* final energy: -5.972 eV per atom
* SG: No. 123
* density of states at the Fermi level: 1.119 states/eV per atom

=====

[6]
Compound: HfNbFeCu
Source: Alexandria via LeMat-Bulk
Functional: PBE-GGA
Structure: optimized geometry

a b c (Å): 4.449 4.449 4.449
angles (deg): 60.00 60.00 60.00
Atoms (fractional coordinates):
Hf (0.000, 0.000, 0.000)
Nb (0.500, 0.500, 0.500)
Fe (0.750, 0.750, 0.750)
Cu (0.250, 0.250, 0.250)

* final energy: -8.193 eV per atom
* energy relative to the elements: -1.08 kcal/mol of atoms
* SG: No. 216
* density of states at the Fermi level: 0.705 states/eV per atom